# 1
The following is a DFT calculation (PBE) of crystalline Na2ZnF4 at its relaxed geometry.

The structure belongs to space group P2_1/m (No. 11); the cell edges are 5.9251, 5.9629 and 6.2986 Å and the angles 90.00°, 106.34° and 90.00°. The asymmetric unit holds Na at (0.1558, 0.2500, 0.0336), Na at (0.2202, 0.2500, 0.5513), Zn at (0.3063, 0.7500, 0.8168), F at (0.0565, 0.5217, 0.7589), F at (0.4685, 0.2500, 0.3458) and F at (0.4878, 0.2500, 0.8887).

For the total energy, the calculation gives -57.8 eV for the cell shown. The value obtained for the energy above the most stable polymorph in this dataset is 0.076 eV/atom. The value obtained for the magnetization is 0.0 μB per formula unit.

=====

# 2
The following is a DFT calculation (PBE) of crystalline NaZn3F at its relaxed geometry.

The structure belongs to space group Pm-3m (No. 221); the cell edges are 4.7077, 4.7077 and 4.7077 Å and the angles 90.00°, 90.00° and 90.00°. The asymmetric unit holds Na at (0.0000, 0.0000, 0.0000), Zn at (0.0000, 0.5000, 0.5000) and F at (0.5000, 0.5000, 0.5000).

For the total energy, the calculation gives -8.0 eV for the cell shown. The value obtained for the energy above the most stable polymorph in this dataset is 0.000 eV/atom. The value obtained for the magnetization is 0.0 μB per formula unit.

=====

# 3
The following is a DFT calculation (PBE) of crystalline Na3ZnF4 at its relaxed geometry.

The structure belongs to space group Pmn2_1 (No. 31); the cell edges are 8.0506, 6.8047 and 4.6340 Å and the angles 90.00°, 90.00° and 90.00°. The asymmetric unit holds Na at (0.0000, 0.1630, 0.0000), Na at (0.2469, 0.3306, 0.5000), Zn at (0.0000, 0.8271, 0.4998), F at (0.0000, 0.1600, 0.5000), F at (0.0000, 0.8258, 0.0024) and F at (0.2473, 0.3315, 0.0001).

For the total energy, the calculation gives -61.9 eV for the cell shown. The value obtained for the magnetization is 0.0 μB per formula unit.

=====

# 4
The following is a DFT calculation (PBE) of crystalline Na5ZnF8 at its relaxed geometry.

The structure belongs to space group I-4 (No. 82); the cell edges are 6.8846, 6.8846 and 7.2928 Å and the angles 90.00°, 90.00° and 90.00°. The asymmetric unit holds Na at (0.0000, 0.0000, 0.0000), Na at (0.1245, 0.7416, 0.6236), Zn at (0.0000, 0.5000, 0.2500), F at (0.0499, 0.7768, 0.3045) and F at (0.0739, 0.6796, 0.9350).

For the total energy, the calculation gives -112.8 eV for the cell shown. The value obtained for the magnetization is 1.1 μB per formula unit.

=====

# 5
The following is a DFT calculation (PBE) of crystalline Na2ZnF6 at its relaxed geometry.

The structure belongs to space group C2/m (No. 12); the cell edges are 7.9303, 3.4431 and 9.0262 Å and the angles 90.00°, 104.75° and 90.00°. The asymmetric unit holds Na at (0.2456, 0.0000, 0.1883), Zn at (0.0000, 0.0000, 0.5000), F at (0.0340, 0.0000, 0.7164), F at (0.1274, 0.5000, 0.0249) and F at (0.1586, 0.5000, 0.5381).

For the total energy, the calculation gives -65.2 eV for the cell shown. The value obtained for the magnetization is 2.0 μB per formula unit.

=====

# 6
The following is a DFT calculation (PBE) of crystalline NaZn2F6 at its relaxed geometry.

The structure belongs to space group P-31m (No. 162); the cell edges are 5.3186, 5.3186 and 4.9636 Å and the angles 90.00°, 90.00° and 120.00°. The asymmetric unit holds Na at (0.0000, 0.0000, 0.0000), Zn at (0.3333, 0.6667, 0.5000) and F at (0.0000, 0.3651, 0.7189).

For the total energy, the calculation gives -34.6 eV for the cell shown. The value obtained for the energy above the most stable polymorph in this dataset is 0.000 eV/atom. The value obtained for the magnetization is 1.1 μB per formula unit.

=====

# 7
The following is a DFT calculation (PBE) of crystalline Na2ZnF4 at its relaxed geometry.

The structure belongs to space group I4/mmm (No. 139); the cell edges are 4.0519, 4.0519 and 11.8444 Å and the angles 90.00°, 90.00° and 90.00°. The asymmetric unit holds Na at (0.0000, 0.0000, 0.1444), Zn at (0.0000, 0.0000, 0.5000), F at (0.0000, 0.0000, 0.3294) and F at (0.0000, 0.5000, 0.0000).

For the total energy, the calculation gives -58.0 eV for the cell shown. The value obtained for the energy above the most stable polymorph in this dataset is 0.059 eV/atom. The value obtained for the magnetization is 0.0 μB per formula unit.

=====

# 8
The following is a DFT calculation (PBE) of crystalline Na2ZnF5 at its relaxed geometry.

The structure belongs to space group C2/m (No. 12); the cell edges are 11.8069, 3.9000 and 5.3897 Å and the angles 90.00°, 116.97° and 90.00°. The asymmetric unit holds Na at (0.1792, 0.0000, 0.1797), Zn at (0.0000, 0.5000, 0.5000), F at (0.0000, 0.0000, 0.5000), F at (0.1357, 0.5000, 0.8868) and F at (0.1366, 0.5000, 0.3858).

For the total energy, the calculation gives -62.7 eV for the cell shown. The value obtained for the energy above the most stable polymorph in this dataset is 0.000 eV/atom. The value obtained for the magnetization is 1.0 μB per formula unit.

=====

# 9
The following is a DFT calculation (PBE) of crystalline NaZn2F at its relaxed geometry.

The structure belongs to space group Fm-3m (No. 225); the cell edges are 6.8554, 6.8554 and 6.8554 Å and the angles 90.00°, 90.00° and 90.00°. The asymmetric unit holds Na at (0.0000, 0.0000, 0.0000), Zn at (0.2500, 0.2500, 0.2500) and F at (0.0000, 0.0000, 0.5000).

For the total energy, the calculation gives -29.2 eV for the cell shown. The value obtained for the energy above the most stable polymorph in this dataset is 0.395 eV/atom. The value obtained for the magnetization is 0.0 μB per formula unit.

=====

# 10
The following is a DFT calculation (PBE) of crystalline Na2Zn2F7 at its relaxed geometry.

The structure belongs to space group Cmmm (No. 65); the cell edges are 6.7710, 7.5135 and 5.5056 Å and the angles 90.00°, 90.00° and 90.00°. The asymmetric unit holds Na at (0.2455, 0.0000, 0.0000), Zn at (0.0000, 0.2292, 0.5000), F at (0.0000, 0.0000, 0.2755), F at (0.0000, 0.5000, 0.5000) and F at (0.2500, 0.2500, 0.2635).

For the total energy, the calculation gives -84.7 eV for the cell shown. The value obtained for the energy above the most stable polymorph in this dataset is 0.063 eV/atom. The value obtained for the magnetization is 1.1 μB per formula unit.

=====

> Number 8 is which compound?

Na2ZnF5